Below is ZrScOs2 after structural relaxation, with properties calculated at the PBE level.

```
4
Lattice="0.000 3.244 3.244 3.244 0.000 3.244 3.244 3.244 0.000" Properties=species:S:1:pos:R:3 pbc="T T T"
Zr 0.000 0.000 0.000
Sc 3.244 3.244 3.244
Os 1.622 1.622 1.622
Os 4.866 4.866 4.866
```

Summary:
**ΔE_f**: -1.91 eV per formula unit
**V**: 68.3 Å³/f.u.